LaPu2ScTe4 | PBE-GGA | optimized geometry

a b c (Å): 7.6274 4.3942 7.6825
angles (deg): 90.00 109.23 90.00
Closest atoms and distances in Å follow each position.
Positions (direct):
1 La 0.0000 0.0000 0.0000  6 Te 3.17
2 Pu 0.0000 0.5000 0.5000  6 Te 3.20
3 Pu 0.5000 0.0000 0.5000  6 Te 3.08
4 Sc 0.5000 0.5000 0.0000  6 Te 3.04
5 Te 0.2642 0.5000 0.2508  1 Sc 3.04, 3 Pu 3.08-3.20, 2 La 3.17
6 Te 0.2668 0.0000 0.7595  2 Sc 3.04, 3 Pu 3.08-3.20, 1 La 3.17
7 Te 0.7332 0.0000 0.2405  2 Sc 3.04, 3 Pu 3.08-3.20, 1 La 3.17
8 Te 0.7358 0.5000 0.7492  1 Sc 3.04, 3 Pu 3.08-3.20, 2 La 3.17

Properties
V   243.1 Å³/cell
DFT total energy   -7.762 eV per atom
Formation energy from raw total energies   -1.20 eV per atom
Space group   P2/m, No. 10